First-principles (PBE) data for an optimized crystal structure of KRb2Np3S8, as listed in Alexandria.

The value obtained for the energy relative to the elements, uncorrected is -1.2637 eV per atom. The value obtained for the calculated volume is 32.407 Å³ per atom.

Cell lengths 8.1827, 8.1827, 9.1399 Å; angles 63.41, 63.41, 60.00 degrees
Each line ends with the local moment (μB).
Fractional positions:
Rb1 0.1331 0.1331 0.6007  0.00
Rb2 0.4992 0.4992 0.5025  0.00
S1 0.2730 0.2730 0.1810  -0.11
S2 0.7270 0.7270 0.8189  -0.11
S3 0.6878 0.2421 0.8280  -0.14
S4 0.7570 0.7570 0.1788  -0.13
S5 0.2421 0.2421 0.8280  -0.14
S6 0.7570 0.3073 0.1788  -0.13
S7 0.2421 0.6878 0.8280  -0.14
S8 0.3073 0.7570 0.1788  -0.13
Np1 0.4994 0.4994 0.0025  3.07
Np2 0.4994 0.9986 0.0025  3.07
Np3 0.9986 0.4994 0.0025  3.07
K1 0.8697 0.8697 0.3909  0.00

***

First-principles (PBE) data for an optimized crystal structure of Ta3HgC, as listed in Alexandria.

The value obtained for the calculated volume is 16.220 Å³ per atom. The energy relative to the elements comes out at 0.0031 eV/atom.

Cell lengths 4.3285, 4.3285, 4.3285 Å; angles 90.00, 90.00, 90.00 degrees
Fractional positions:
Ta1 0.0000 0.0000 0.5000
Ta2 0.0000 0.5000 0.0000
Ta3 0.5000 0.0000 0.0000
Hg1 0.5000 0.5000 0.5000
C1 0.0000 0.0000 0.0000

***

First-principles (PBE) data for an optimized crystal structure of MnNiSbIr, as listed in Alexandria.

The value obtained for the energy relative to the elements, uncorrected is -0.0492 eV per atom. The value obtained for the calculated volume is 15.097 Å³ per atom.

Cell lengths 4.4038, 4.4038, 4.4038 Å; angles 60.00, 60.00, 60.00 degrees
Each line ends with the local moment (μB).
Fractional positions:
Ir1 0.7500 0.7500 0.7500  0.10
Mn1 0.0000 0.0000 0.0000  3.59
Ni1 0.2500 0.2500 0.2500  0.12
Sb1 0.5000 0.5000 0.5000  -0.01